1.
{
  "formula": "TmBiN2O",
  "functional": "PBE",
  "state": "optimized geometry",
  "energy_ev_per_cell": -33.9,
  "m_tot_mub_per_cell": 0.0,
  "lattice_angstrom": [[4.023, 0.000, 0.000], [0.000, 4.450, 0.000], [-0.001, 0.000, 4.382]],
  "species": ["Tm", "Bi", "N", "N", "O"],
  "fractional_positions": [[0.000, 0.000, 0.000], [0.501, 0.500, 0.453], [0.996, 0.500, 0.134], [0.996, 0.500, 0.812], [0.499, 0.000, 0.186]]
}

=====

2.
{
  "formula": "TmBiN2O",
  "functional": "PBE",
  "state": "optimized geometry",
  "energy_ev_per_cell": -132.8,
  "m_tot_mub_per_cell": 0.0,
  "lattice_angstrom": [[5.762, 0.000, 0.000], [-2.813, 5.242, 0.000], [-2.803, -1.572, 9.370]],
  "species": ["Tm", "Tm", "Tm", "Tm", "Bi", "Bi", "Bi", "Bi", "N", "N", "N", "N", "N", "N", "N", "N", "O", "O", "O", "O"],
  "fractional_positions": [[0.000, 0.000, 0.000], [0.038, 0.558, 0.500], [0.455, 0.781, 0.248], [0.525, 0.281, 0.748], [0.225, 0.146, 0.380], [0.261, 0.614, 0.886], [0.749, 0.413, 0.143], [0.817, 0.905, 0.645], [0.072, 0.654, 0.039], [0.099, 0.415, 0.294], [0.116, 0.213, 0.565], [0.194, 0.841, 0.720], [0.392, 0.325, 0.955], [0.402, 0.132, 0.222], [0.854, 0.740, 0.316], [0.885, 0.207, 0.803], [0.455, 0.869, 0.484], [0.639, 0.936, 0.060], [0.642, 0.689, 0.802], [0.647, 0.456, 0.550]]
}

=====

3.
{
  "formula": "TmBiN2O",
  "functional": "PBE",
  "state": "optimized geometry",
  "energy_ev_per_cell": -133.1,
  "m_tot_mub_per_cell": 0.0,
  "lattice_angstrom": [[8.000, 0.000, 0.000], [0.000, 5.808, 0.000], [0.000, 0.000, 5.960]],
  "species": ["Tm", "Tm", "Tm", "Tm", "Bi", "Bi", "Bi", "Bi", "N", "N", "N", "N", "N", "N", "N", "N", "O", "O", "O", "O"],
  "fractional_positions": [[0.000, 0.220, 0.000], [0.000, 0.780, 0.500], [0.500, 0.223, 0.103], [0.500, 0.777, 0.603], [0.251, 0.279, 0.561], [0.251, 0.721, 0.061], [0.749, 0.279, 0.561], [0.749, 0.721, 0.061], [0.000, 0.392, 0.641], [0.000, 0.608, 0.141], [0.295, 0.388, 0.908], [0.295, 0.612, 0.408], [0.500, 0.130, 0.476], [0.500, 0.870, 0.976], [0.705, 0.388, 0.908], [0.705, 0.612, 0.408], [0.173, 0.056, 0.267], [0.173, 0.944, 0.767], [0.827, 0.056, 0.267], [0.827, 0.944, 0.767]]
}

=====

4.
{
  "formula": "TmBiN2O",
  "functional": "PBE",
  "state": "optimized geometry",
  "energy_ev_per_cell": -30.1,
  "m_tot_mub_per_cell": 0.0,
  "lattice_angstrom": [[4.186, 0.000, 0.000], [0.000, 4.186, 0.000], [0.000, 0.000, 4.124]],
  "species": ["Tm", "Bi", "N", "N", "O"],
  "fractional_positions": [[0.000, 0.000, 0.000], [0.500, 0.500, 0.500], [0.000, 0.500, 0.500], [0.500, 0.000, 0.500], [0.500, 0.500, 0.000]]
}

=====

5.
{
  "formula": "TmBiN2O",
  "functional": "PBE",
  "state": "optimized geometry",
  "energy_ev_per_cell": -66.1,
  "m_tot_mub_per_cell": 0.0,
  "lattice_angstrom": [[-4.287, 2.843, 2.901], [4.287, -2.843, 2.901], [4.287, 2.843, -2.901]],
  "species": ["Tm", "Tm", "Bi", "Bi", "N", "N", "N", "N", "O", "O"],
  "fractional_positions": [[0.035, 0.250, 0.285], [0.965, 0.750, 0.715], [0.527, 0.027, 0.500], [0.527, 0.527, 0.000], [0.029, 0.176, 0.673], [0.029, 0.856, 0.353], [0.503, 0.356, 0.327], [0.503, 0.676, 0.647], [0.449, 0.853, 0.096], [0.758, 0.353, 0.904]]
}

=====

6.
{
  "formula": "TmBiN2O",
  "functional": "PBE",
  "state": "optimized geometry",
  "energy_ev_per_cell": -267.4,
  "m_tot_mub_per_cell": 0.0,
  "lattice_angstrom": [[8.055, 0.000, 0.000], [0.000, 8.137, 0.000], [-7.740, 0.000, 8.525]],
  "species": ["Tm", "Tm", "Tm", "Tm", "Tm", "Tm", "Tm", "Tm", "Bi", "Bi", "Bi", "Bi", "Bi", "Bi", "Bi", "Bi", "N", "N", "N", "N", "N", "N", "N", "N", "N", "N", "N", "N", "N", "N", "N", "N", "O", "O", "O", "O", "O", "O", "O", "O"],
  "fractional_positions": [[0.051, 0.213, 0.025], [0.051, 0.287, 0.525], [0.436, 0.717, 0.480], [0.436, 0.783, 0.980], [0.564, 0.217, 0.020], [0.564, 0.283, 0.520], [0.949, 0.713, 0.475], [0.949, 0.787, 0.975], [0.030, 0.004, 0.276], [0.030, 0.496, 0.776], [0.485, 0.513, 0.229], [0.485, 0.987, 0.729], [0.515, 0.013, 0.271], [0.515, 0.487, 0.771], [0.970, 0.504, 0.224], [0.970, 0.996, 0.724], [0.083, 0.744, 0.723], [0.083, 0.756, 0.223], [0.194, 0.610, 0.001], [0.194, 0.890, 0.501], [0.290, 0.117, 0.296], [0.290, 0.383, 0.796], [0.424, 0.238, 0.640], [0.424, 0.262, 0.140], [0.576, 0.738, 0.860], [0.576, 0.762, 0.360], [0.710, 0.617, 0.204], [0.710, 0.883, 0.704], [0.806, 0.110, 0.499], [0.806, 0.390, 0.999], [0.917, 0.244, 0.777], [0.917, 0.256, 0.277], [0.187, 0.538, 0.506], [0.187, 0.962, 0.006], [0.338, 0.026, 0.839], [0.338, 0.474, 0.339], [0.662, 0.526, 0.661], [0.662, 0.974, 0.161], [0.813, 0.038, 0.994], [0.813, 0.462, 0.494]]
}

=====

7.
{
  "formula": "TmBiN2O",
  "functional": "PBE",
  "state": "optimized geometry",
  "energy_ev_per_cell": -67.8,
  "m_tot_mub_per_cell": 0.0,
  "lattice_angstrom": [[4.260, -4.491, 0.000], [4.260, 4.491, 0.000], [-4.122, 0.000, 4.365]],
  "species": ["Tm", "Tm", "Bi", "Bi", "N", "N", "N", "N", "O", "O"],
  "fractional_positions": [[0.150, 0.150, 0.409], [0.850, 0.850, 0.591], [0.000, 0.500, 0.000], [0.500, 0.000, 0.000], [0.161, 0.839, 0.500], [0.494, 0.494, 0.098], [0.506, 0.506, 0.902], [0.839, 0.161, 0.500], [0.144, 0.856, 0.000], [0.856, 0.144, 0.000]]
}

=====

8.
{
  "formula": "TmBiN2O",
  "functional": "PBE",
  "state": "optimized geometry",
  "energy_ev_per_cell": -133.5,
  "m_tot_mub_per_cell": 0.0,
  "lattice_angstrom": [[5.816, 0.000, 0.000], [0.000, 8.592, 0.000], [0.000, 0.000, 5.538]],
  "species": ["Tm", "Tm", "Tm", "Tm", "Bi", "Bi", "Bi", "Bi", "N", "N", "N", "N", "N", "N", "N", "N", "O", "O", "O", "O"],
  "fractional_positions": [[0.069, 0.250, 0.029], [0.431, 0.750, 0.529], [0.569, 0.250, 0.471], [0.931, 0.750, 0.971], [0.000, 0.000, 0.500], [0.000, 0.500, 0.500], [0.500, 0.000, 0.000], [0.500, 0.500, 0.000], [0.198, 0.583, 0.807], [0.198, 0.917, 0.807], [0.302, 0.083, 0.307], [0.302, 0.417, 0.307], [0.698, 0.583, 0.693], [0.698, 0.917, 0.693], [0.802, 0.083, 0.193], [0.802, 0.417, 0.193], [0.071, 0.750, 0.346], [0.429, 0.250, 0.846], [0.571, 0.750, 0.154], [0.929, 0.250, 0.654]]
}

=====

9.
{
  "formula": "TmBiN2O",
  "functional": "PBE",
  "state": "optimized geometry",
  "energy_ev_per_cell": -67.2,
  "m_tot_mub_per_cell": 0.0,
  "lattice_angstrom": [[5.695, 0.000, 0.000], [-2.843, 5.010, 0.000], [-2.765, -1.723, 5.063]],
  "species": ["Tm", "Tm", "Bi", "Bi", "N", "N", "N", "N", "O", "O"],
  "fractional_positions": [[0.000, 0.000, 0.000], [0.439, 0.721, 0.164], [0.020, 0.529, 0.516], [0.430, 0.214, 0.649], [0.214, 0.395, 0.347], [0.506, 0.910, 0.831], [0.916, 0.587, 0.822], [0.938, 0.822, 0.334], [0.245, 0.325, 0.856], [0.519, 0.118, 0.325]]
}

=====

10.
{
  "formula": "ZnBiNO",
  "functional": "PBE",
  "state": "optimized geometry",
  "e_above_lowest_polymorph_mev_per_atom": 50,
  "lattice_angstrom": [[5.925, 0.000, 0.000], [0.000, 7.156, 0.000], [0.000, 0.000, 5.657]],
  "species": ["Zn", "Zn", "Zn", "Zn", "Bi", "Bi", "Bi", "Bi", "N", "N", "N", "N", "O", "O", "O", "O"],
  "fractional_positions": [[0.065, 0.111, 0.000], [0.435, 0.111, 0.500], [0.565, 0.889, 0.000], [0.935, 0.889, 0.500], [0.057, 0.665, 0.958], [0.443, 0.665, 0.458], [0.557, 0.335, 0.958], [0.943, 0.335, 0.458], [0.073, 0.624, 0.553], [0.427, 0.624, 0.053], [0.573, 0.376, 0.553], [0.927, 0.376, 0.053], [0.155, 0.045, 0.679], [0.345, 0.045, 0.179], [0.655, 0.955, 0.679], [0.845, 0.955, 0.179]]
}

=====

11.
{
  "formula": "ZnBiNO",
  "functional": "PBE",
  "state": "optimized geometry",
  "e_above_lowest_polymorph_mev_per_atom": 312,
  "lattice_angstrom": [[4.817, 0.000, 0.000], [0.000, 4.817, 0.000], [0.000, 0.000, 4.824]],
  "species": ["Zn", "Zn", "Bi", "Bi", "N", "N", "O", "O"],
  "fractional_positions": [[0.250, 0.250, 0.027], [0.750, 0.750, 0.973], [0.250, 0.750, 0.500], [0.750, 0.250, 0.500], [0.250, 0.250, 0.456], [0.750, 0.750, 0.544], [0.250, 0.750, 0.000], [0.750, 0.250, 0.000]]
}

=====

12.
{
  "formula": "ZnBiNO",
  "functional": "PBE",
  "state": "optimized geometry",
  "e_above_lowest_polymorph_mev_per_atom": 0,
  "lattice_angstrom": [[3.418, 0.000, 0.000], [0.000, 6.766, 0.000], [0.000, 0.000, 5.512]],
  "species": ["Zn", "Zn", "Bi", "Bi", "N", "N", "O", "O"],
  "fractional_positions": [[0.000, 0.120, 0.000], [0.000, 0.880, 0.500], [0.500, 0.331, 0.492], [0.500, 0.669, 0.992], [0.000, 0.154, 0.362], [0.000, 0.846, 0.862], [0.500, 0.234, 0.862], [0.500, 0.766, 0.362]]
}